(1)
A plane-wave DFT calculation with PBE was carried out for an optimized crystal structure of CaTlTe.

It has space group F-43m (No. 216), with a = 7.5208 Å, b = 7.5208 Å, c = 7.5208 Å, α = 90.00°, β = 90.00° and γ = 90.00°. The distinct sites, in fractional coordinates, are Ca at (0.0000, 0.0000, 0.0000), Tl at (0.2500, 0.2500, 0.2500) and Te at (0.2500, 0.2500, 0.7500).

The formation energy (no corrections) comes out at -543 meV per atom. Its energy above the most stable polymorph in this dataset is 0.276 eV per atom. The calculation puts the mass density at 5.81 g cm⁻³. The calculation puts the volume at 425.39 Å³/cell.

(2)
A plane-wave DFT calculation with PBE was carried out for an optimized crystal structure of CaTl2Te.

It has space group Pmmm (No. 47), with a = 4.5062 Å, b = 4.6378 Å, c = 5.9449 Å, α = 90.00°, β = 90.00° and γ = 90.00°. The distinct sites, in fractional coordinates, are Ca at (0.0000, 0.0000, 0.0000), Tl at (0.0000, 0.5000, 0.5000), Tl at (0.5000, 0.0000, 0.5000) and Te at (0.5000, 0.5000, 0.0000).

The formation energy (no corrections) comes out at -542 meV per atom. Its energy above the most stable polymorph in this dataset is 0.049 eV per atom. The calculation puts the mass density at 7.70 g cm⁻³. The calculation puts the volume at 124.24 Å³/cell.

(3)
A plane-wave DFT calculation with PBE was carried out for an optimized crystal structure of CaTlTe.

It has space group F-43m (No. 216), with a = 7.6263 Å, b = 7.6263 Å, c = 7.6263 Å, α = 90.00°, β = 90.00° and γ = 90.00°. The distinct sites, in fractional coordinates, are Ca at (0.0000, 0.0000, 0.0000), Tl at (0.0000, 0.0000, 0.5000) and Te at (0.2500, 0.2500, 0.7500).

The formation energy (no corrections) comes out at -595 meV per atom. Its energy above the most stable polymorph in this dataset is 0.224 eV per atom. The calculation puts the mass density at 5.57 g cm⁻³. The calculation puts the volume at 443.55 Å³/cell.

(4)
A plane-wave DFT calculation with PBE was carried out for an optimized crystal structure of Ca2TlTe2.

It has space group I4/mmm (No. 139), with a = 5.2781 Å, b = 5.2781 Å, c = 14.2139 Å, α = 90.00°, β = 90.00° and γ = 90.00°. The distinct sites, in fractional coordinates, are Ca at (0.0000, 0.5000, 0.2500), Tl at (0.0000, 0.0000, 0.0000) and Te at (0.0000, 0.0000, 0.3639).

The formation energy (no corrections) comes out at -873 meV per atom. Its energy above the most stable polymorph in this dataset is 0.208 eV per atom. The calculation puts the mass density at 4.53 g cm⁻³. The calculation puts the volume at 395.97 Å³/cell.